Density functional theory data (PBE) for a geometry-optimized SrRu2Pt structure.

CIF file:
```
data_SrRu2Pt
_chemical_formula_sum 'Sr1 Ru2 Pt1'
_cell_length_a 2.879
_cell_length_b 4.746
_cell_length_c 5.633
_cell_angle_alpha 90.00
_cell_angle_beta 99.94
_cell_angle_gamma 90.00
_symmetry_space_group_name_H-M 'P 1 2/m 1'
_symmetry_Int_Tables_number 10
_symmetry_space_group_name_Hall '-P 2y'
loop_
_atom_site_label
_atom_site_type_symbol
_atom_site_fract_x
_atom_site_fract_y
_atom_site_fract_z
_atom_site_occupancy
Sr1 Sr 0.000 0.000 0.000 1
Ru1 Ru 0.305 0.500 0.690 1
Pt1 Pt 0.500 0.000 0.500 1
```

density	10.62	Mg/m³
ΔE_f	182	kJ/mol of formula units
calculated volume	18.95	Å³ per atom

Density functional theory data (PBE) for a geometry-optimized SnPd6Pt5 structure.

CIF file:
```
data_SnPd6Pt5
_chemical_formula_sum 'Sn2 Pd12 Pt10'
_cell_length_a 3.999
_cell_length_b 11.941
_cell_length_c 7.936
_cell_angle_alpha 90.00
_cell_angle_beta 90.06
_cell_angle_gamma 90.00
_symmetry_space_group_name_H-M 'C 1 2/m 1'
_symmetry_Int_Tables_number 12
_symmetry_space_group_name_Hall '-C 2y'
loop_
_atom_site_label
_atom_site_type_symbol
_atom_site_fract_x
_atom_site_fract_y
_atom_site_fract_z
_atom_site_occupancy
Sn1 Sn 0.000 0.000 0.000 1
Pd1 Pd 0.000 0.167 0.251 1
Pd2 Pd 0.000 0.500 0.249 1
Pt1 Pt 0.000 0.000 0.500 1
Pt2 Pt 0.000 0.333 0.000 1
Pt3 Pt 0.000 0.335 0.500 1
```

density	15.18	Mg/m³
ΔE_f	-205	kJ/mol of formula units
calculated volume	15.79	Å³ per atom

Density functional theory data (PBE) for a geometry-optimized CeDyAs2Pd2 structure.

CIF file:
```
data_CeDyAs2Pd2
_chemical_formula_sum 'Ce1 Dy1 As2 Pd2'
_cell_length_a 4.3520
_cell_length_b 4.3520
_cell_length_c 7.6373
_cell_angle_alpha 90.00
_cell_angle_beta 90.00
_cell_angle_gamma 120.00
_symmetry_space_group_name_H-M 'P -3 m 1'
_symmetry_Int_Tables_number 164
_symmetry_space_group_name_Hall '-P 3 2"'
loop_
_atom_site_label
_atom_site_type_symbol
_atom_site_fract_x
_atom_site_fract_y
_atom_site_fract_z
_atom_site_occupancy
Ce1 Ce 0.0000 0.0000 0.0000 1
Dy1 Dy 0.0000 0.0000 0.5000 1
As1 As 0.3333 0.6667 0.2476 1
Pd1 Pd 0.3333 0.6667 0.7323 1
```

density	8.82	Mg/m³
ΔE_f	-658	kJ/mol of formula units
calculated volume	20.88	Å³ per atom